Entry from the Alexandria database: crystalline HoBeCrO4 at its relaxed geometry (PBE+U).

abc: 5.876 7.037 8.565
angles: 90.00 90.00 90.00
Space group Imma (No. 74)
Inequivalent atoms, fractional coordinates:
Ho1 0.000 0.000 0.000 [4 per cell]
Be1 0.000 0.250 0.458 [4 per cell]
Cr1 0.250 0.250 0.750 [4 per cell]
O1 0.000 0.056 0.747 [8 per cell]
O2 0.246 0.250 0.503 [8 per cell]

Computed properties:
Size of the total moment = 0.43 μB per atom
Density of states at the Fermi level = 0.000 states/eV per atom
Calculated total energy = -7.58 eV/atom
ρ = 5.4 g cm⁻³
Crystal system = orthorhombic